[1]
A plane-wave DFT calculation with PBE was carried out for a geometry-optimized Tl2In4Cu structure.

abc: 5.0904 5.0904 8.9084
angles: 73.40 73.40 90.00
With the nearest neighbours (Å) after each atom.
Fractional coordinates of all 7 atoms:
Tl1 0.6432 0.6432 0.7135  5 In 3.12-3.45
Tl2 0.3568 0.3568 0.2865  5 In 3.12-3.45
Cu1 0.0000 0.0000 0.0000  6 In 2.55-2.70
In1 0.8345 0.8345 0.3310  1 Cu 2.70
In2 0.1655 0.1655 0.6690  1 Cu 2.70
In3 0.0000 0.5000 0.0000  2 Cu 2.55
In4 0.5000 0.0000 0.0000  2 Cu 2.55

Calculated values
Formation energy = 0.157 eV/atom


[2]
A plane-wave DFT calculation with PBE was carried out for a geometry-optimized Cd2MoCl structure.

abc: 3.0856 5.2271 5.2271
angles: 90.00 90.00 90.00
With the nearest neighbours (Å) after each atom.
Fractional coordinates of all 4 atoms:
Cd1 0.0000 0.0000 0.0000  4 Cl 3.03, 4 Mo 3.03, 2 Cd 3.09
Cd2 0.0000 0.5000 0.5000  4 Mo 3.03, 4 Cl 3.03, 2 Cd 3.09
Cl1 0.5000 0.5000 0.0000  8 Cd 3.03, 2 Cl 3.09
Mo1 0.5000 0.0000 0.5000  8 Cd 3.03, 2 Mo 3.09

Calculated values
ΔE_f (raw) = 435 meV per atom


[3]
A plane-wave DFT calculation with PBE was carried out for a geometry-optimized Os2Ru3W structure.

abc: 2.6344 5.2225 7.7588
angles: 120.49 90.00 90.00
With the nearest neighbours (Å) after each atom.
Fractional coordinates of all 6 atoms:
Os1 0.0000 0.5064 0.6696  4 Ru 2.58-2.64, 3 Os 2.60-2.63, 2 W 2.87
Os2 0.0000 0.4936 0.3304  4 Ru 2.58-2.64, 3 Os 2.60-2.63, 2 W 2.87
Ru1 0.0000 0.0004 0.6687  4 Ru 2.57-2.63, 3 Os 2.58-2.64
Ru2 0.0000 0.9996 0.3313  4 Ru 2.57-2.63, 3 Os 2.58-2.64
Ru3 0.0000 0.5000 0.0000  4 Ru 2.57-2.63, 2 Os 2.58
W1 0.5000 0.0000 0.0000  2 W 2.63, 4 Os 2.87, 8 Ru 2.89-2.92

Calculated values
Formation energy = 0.668 eV/atom


[4]
A plane-wave DFT calculation with PBE was carried out for a geometry-optimized ThNbFeSi2 structure.

abc: 4.0444 4.0444 6.2746
angles: 108.80 108.80 90.00
With the nearest neighbours (Å) after each atom.
Fractional coordinates of all 5 atoms:
Th1 0.0000 0.0000 0.0000  8 Si 3.12, 4 Nb 3.45, 4 Fe 3.45
Nb1 0.2500 0.7500 0.5000  4 Si 2.54
Fe1 0.7500 0.2500 0.5000  4 Si 2.54
Si1 0.6117 0.6117 0.2234  1 Si 2.50, 2 Nb 2.54, 2 Fe 2.54
Si2 0.3883 0.3883 0.7766  1 Si 2.50, 2 Fe 2.54, 2 Nb 2.54

Calculated values
ΔE_f (raw) = -543 meV per atom


[5]
A plane-wave DFT calculation with PBE was carried out for a geometry-optimized Pu3PaSn4 structure.

abc: 3.0726 5.8204 11.6602
angles: 90.00 90.00 90.00
With the nearest neighbours (Å) after each atom.
Fractional coordinates of all 8 atoms:
Pa1 0.5000 0.5000 0.0000  2 Pa 3.07, 8 Sn 3.28-3.29
Sn1 0.0000 0.0000 0.5000  2 Sn 3.07, 8 Pu 3.27-3.29
Sn2 0.0000 0.5000 0.7519  2 Sn 3.07, 2 Pa 3.28, 6 Pu 3.29-3.31
Sn3 0.0000 0.0000 0.0000  2 Sn 3.07, 4 Pa 3.29, 4 Pu 3.32
Sn4 0.0000 0.5000 0.2481  2 Sn 3.07, 2 Pa 3.28, 6 Pu 3.29-3.31
Pu1 0.5000 0.0000 0.2528  2 Pu 3.07, 8 Sn 3.27-3.32
Pu2 0.5000 0.5000 0.5000  2 Pu 3.07, 8 Sn 3.29-3.31
Pu3 0.5000 0.0000 0.7472  2 Pu 3.07, 8 Sn 3.27-3.32

Calculated values
Formation energy = -0.322 eV/atom


[6]
A plane-wave DFT calculation with PBE was carried out for a geometry-optimized FeOs structure.

abc: 9.1325 9.1325 2.5941
angles: 90.00 90.00 90.00
With the nearest neighbours (Å) after each atom.
Fractional coordinates of all 16 atoms:
Fe1 0.4077 0.8695 0.0000  6 Fe 2.44-2.59, 4 Os 2.51-2.55
Fe2 0.5923 0.1305 0.0000  6 Fe 2.44-2.59, 4 Os 2.51-2.55
Fe3 0.1305 0.4077 0.0000  6 Fe 2.44-2.59, 4 Os 2.51-2.55
Fe4 0.8695 0.5923 0.0000  6 Fe 2.44-2.59, 4 Os 2.51-2.55
Fe5 0.9077 0.3695 0.5000  6 Fe 2.44-2.59, 4 Os 2.51-2.55
Fe6 0.0923 0.6305 0.5000  6 Fe 2.44-2.59, 4 Os 2.51-2.55
Fe7 0.6305 0.9077 0.5000  6 Fe 2.44-2.59, 4 Os 2.51-2.55
Fe8 0.3695 0.0923 0.5000  6 Fe 2.44-2.59, 4 Os 2.51-2.55
Os1 0.3938 0.3264 0.0000  4 Fe 2.51-2.55, 4 Os 2.59-2.63
Os2 0.6062 0.6736 0.0000  4 Fe 2.51-2.55, 4 Os 2.59-2.63
Os3 0.6736 0.3938 0.0000  4 Fe 2.51-2.55, 4 Os 2.59-2.63
Os4 0.3264 0.6062 0.0000  4 Fe 2.51-2.55, 4 Os 2.59-2.63
Os5 0.8938 0.8264 0.5000  4 Fe 2.51-2.55, 4 Os 2.59-2.63
Os6 0.1062 0.1736 0.5000  4 Fe 2.51-2.55, 4 Os 2.59-2.63
Os7 0.1736 0.8938 0.5000  4 Fe 2.51-2.55, 4 Os 2.59-2.63
Os8 0.8264 0.1062 0.5000  4 Fe 2.51-2.55, 4 Os 2.59-2.63

Calculated values
Formation energy = 0.604 eV/atom


[7]
A plane-wave DFT calculation with PBE was carried out for a geometry-optimized Fe3ReRu structure.

abc: 4.3345 4.3345 4.3345
angles: 90.00 90.00 90.00
With the nearest neighbours (Å) after each atom.
Fractional coordinates of all 5 atoms:
Re1 0.5000 0.5000 0.5000  12 Fe 3.06
Fe1 0.0000 0.5000 0.0000  2 Ru 2.17
Fe2 0.0000 0.0000 0.5000  2 Ru 2.17
Fe3 0.5000 0.0000 0.0000  2 Ru 2.17
Ru1 0.0000 0.0000 0.0000  6 Fe 2.17

Calculated values
Formation energy = 1.910 eV/atom


[8]
A plane-wave DFT calculation with PBE was carried out for a geometry-optimized CaTePt2 structure.

abc: 4.3162 3.9202 5.6020
angles: 90.02 90.00 90.00
With the nearest neighbours (Å) after each atom.
Fractional coordinates of all 4 atoms:
Ca1 0.5000 0.7500 0.7500  8 Pt 3.19, 4 Te 3.42
Te1 0.5000 0.2500 0.2500  4 Pt 2.63
Pt1 0.0000 0.2501 0.9815  1 Pt 2.59, 2 Te 2.63
Pt2 0.0000 0.2499 0.5185  1 Pt 2.59, 2 Te 2.63

Calculated values
ΔE_f (raw) = -609 meV per atom


[9]
A plane-wave DFT calculation with PBE was carried out for a geometry-optimized CeDy2TmSc4 structure.

abc: 3.3993 5.8861 11.0937
angles: 79.65 90.00 90.00
With the nearest neighbours (Å) after each atom.
Fractional coordinates of all 8 atoms:
Ce1 0.0000 0.5000 0.5000  6 Sc 3.33-3.35, 4 Dy 3.40, 2 Ce 3.40
Dy1 0.0000 0.0000 0.0000  6 Sc 3.38-3.39, 4 Tm 3.40, 2 Dy 3.40
Dy2 0.5000 0.0000 0.5000  6 Sc 3.36-3.37, 4 Ce 3.40, 2 Dy 3.40
Tm1 0.5000 0.5000 0.0000  6 Sc 3.35-3.37, 4 Dy 3.40, 2 Tm 3.40
Sc1 0.0000 0.7460 0.7497  1 Ce 3.35, 6 Sc 3.35-3.45, 2 Tm 3.35, 3 Dy 3.36-3.38
Sc2 0.0000 0.2540 0.2503  1 Ce 3.35, 6 Sc 3.35-3.45, 2 Tm 3.35, 3 Dy 3.36-3.38
Sc3 0.5000 0.7438 0.2521  2 Ce 3.33, 6 Sc 3.35-3.45, 1 Tm 3.37, 3 Dy 3.37-3.39
Sc4 0.5000 0.2562 0.7479  2 Ce 3.33, 6 Sc 3.35-3.45, 1 Tm 3.37, 3 Dy 3.37-3.39

Calculated values
Formation energy = 0.065 eV/atom


[10]
A plane-wave DFT calculation with PBE was carried out for a geometry-optimized BaTl2Ag structure.

abc: 6.2623 8.4872 9.3368
angles: 90.00 90.00 90.00
With the nearest neighbours (Å) after each atom.
Fractional coordinates of all 16 atoms:
Ba1 0.3777 0.2500 0.0452  3 Ag 3.38-3.69, 8 Tl 3.63-3.79
Ba2 0.8777 0.7500 0.4548  3 Ag 3.38-3.69, 8 Tl 3.63-3.79
Ba3 0.6223 0.7500 0.9548  3 Ag 3.38-3.69, 8 Tl 3.63-3.79
Ba4 0.1223 0.2500 0.5452  3 Ag 3.38-3.69, 8 Tl 3.63-3.79
Tl1 0.8811 0.0530 0.1809  3 Ag 3.08-3.11, 1 Tl 3.34
Tl2 0.3811 0.9470 0.3191  3 Ag 3.08-3.11, 1 Tl 3.34
Tl3 0.1189 0.5530 0.8191  3 Ag 3.08-3.11, 1 Tl 3.34
Tl4 0.6189 0.4470 0.6809  3 Ag 3.08-3.11, 1 Tl 3.34
Tl5 0.1189 0.9470 0.8191  3 Ag 3.08-3.11, 1 Tl 3.34
Tl6 0.6189 0.0530 0.6809  3 Ag 3.08-3.11, 1 Tl 3.34
Tl7 0.8811 0.4470 0.1809  3 Ag 3.08-3.11, 1 Tl 3.34
Tl8 0.3811 0.5530 0.3191  3 Ag 3.08-3.11, 1 Tl 3.34
Ag1 0.6250 0.2500 0.4038  6 Tl 3.08-3.11, 2 Ba 3.38-3.41
Ag2 0.1250 0.7500 0.0962  6 Tl 3.08-3.11, 2 Ba 3.38-3.41
Ag3 0.3750 0.7500 0.5962  6 Tl 3.08-3.11, 2 Ba 3.38-3.41
Ag4 0.8750 0.2500 0.9038  6 Tl 3.08-3.11, 2 Ba 3.38-3.41

Calculated values
Formation energy = -0.240 eV/atom


[11]
A plane-wave DFT calculation with PBE was carried out for a geometry-optimized Ca2CuAs2 structure.

abc: 4.1632 5.9253 10.1340
angles: 77.07 78.15 69.43
With the nearest neighbours (Å) after each atom.
Fractional coordinates of all 10 atoms:
Ca1 0.6932 0.2616 0.3519  7 As 3.04-3.29, 4 Cu 3.18-3.22
Ca2 0.9120 0.2694 0.9066  4 As 2.98-3.12, 2 Cu 3.19, 1 Ca 3.25
Ca3 0.3068 0.7384 0.6481  7 As 3.04-3.29, 4 Cu 3.18-3.22
Ca4 0.0880 0.7306 0.0934  4 As 2.98-3.12, 2 Cu 3.19, 1 Ca 3.25
Cu1 0.5803 0.1578 0.6816  3 As 2.37-2.38
Cu2 0.4197 0.8422 0.3184  3 As 2.37-2.38
As1 0.0511 0.3088 0.5891  2 Cu 2.37, 1 As 2.53
As2 0.6622 0.8148 0.8609  1 Cu 2.38
As3 0.9489 0.6912 0.4109  2 Cu 2.37, 1 As 2.53
As4 0.3378 0.1852 0.1391  1 Cu 2.38

Calculated values
Formation energy = -0.849 eV/atom


[12]
A plane-wave DFT calculation with PBE was carried out for a geometry-optimized Nd3ReO7 structure.

abc: 6.6910 6.6910 7.6053
angles: 90.00 90.00 110.70
With the nearest neighbours (Å) after each atom.
Fractional coordinates of all 22 atoms:
Nd1 0.0238 0.5646 0.2500  6 O 2.31-2.45
Nd2 0.9762 0.4354 0.7500  6 O 2.31-2.45
Nd3 0.5000 0.5000 0.5000  4 O 2.40
Nd4 0.5000 0.5000 0.0000  4 O 2.40
Nd5 0.4354 0.9762 0.7500  6 O 2.31-2.45
Nd6 0.5646 0.0238 0.2500  6 O 2.31-2.45
Re1 0.0000 0.0000 0.0000  6 O 1.93-2.01
Re2 0.0000 0.0000 0.5000  6 O 1.93-2.01
O1 0.6090 0.3445 0.7500  4 Nd 2.31-2.40
O2 0.3910 0.6555 0.2500  4 Nd 2.31-2.40
O3 0.3445 0.6090 0.7500  4 Nd 2.31-2.40
O4 0.6555 0.3910 0.2500  4 Nd 2.31-2.40
O5 0.3149 0.0659 0.0295  1 Re 2.01
O6 0.6851 0.9341 0.5295  1 Re 2.01
O7 0.0659 0.3149 0.4705  1 Re 2.01
O8 0.9341 0.6851 0.9705  1 Re 2.01
O9 0.9546 0.9546 0.2500  2 Re 1.93
O10 0.0454 0.0454 0.7500  2 Re 1.93
O11 0.0659 0.3149 0.0295  1 Re 2.01
O12 0.9341 0.6851 0.5295  1 Re 2.01
O13 0.3149 0.0659 0.4705  1 Re 2.01
O14 0.6851 0.9341 0.9705  1 Re 2.01

Calculated values
ΔE_f (raw) = -2799 meV per atom